# PBE Np2FeB2Ru5, optimized geometry
data_Np2FeB2Ru5
_chemical_formula_sum 'Np4 Fe2 B4 Ru10'
_space_group_name_H-M_alt 'P 4/m b m'
_space_group_IT_number 127
_space_group_name_Hall '-P 4 2ab'
_cell_length_a 9.596
_cell_length_b 9.596
_cell_length_c 3.052
_cell_angle_alpha 90.00
_cell_angle_beta 90.00
_cell_angle_gamma 90.00
loop_
_atom_site_label
_atom_site_type_symbol
_atom_site_fract_x
_atom_site_fract_y
_atom_site_fract_z
Np1 Np 0.178 0.322 0.000
Fe1 Fe 0.000 0.000 0.000
B1 B 0.123 0.623 0.000
Ru1 Ru 0.000 0.500 0.500
Ru2 Ru 0.070 0.783 0.500
# Crystal system   tetragonal
# Spin magnetization   17.46 μB per cell
# Energy of formation from the pure elements   -0.224 eV per atom
# V   281 Å³ per cell